# 1
A geometry-optimized CuSn2Hg2 structure, computed with PBE.

Results
As for the volume: 24.4 A^3/atom. As for the total energy: -0.0849 hartree per atom. The calculation puts the formation energy at 0.23 eV/atom. The calculation puts the energy above the most stable polymorph in this dataset at 0.46 eV/f.u.

Unit cell a=7.092 b=7.092 c=4.856 alpha=90.00 beta=90.00 gamma=90.00
Sites, in units of the cell vectors:
Hg1 0.346 0.846 0.000
Hg2 0.846 0.654 0.000
Hg3 0.654 0.154 0.000
Hg4 0.154 0.346 0.000
Cu1 0.000 0.000 0.000
Cu2 0.500 0.500 0.000
Sn1 0.165 0.665 0.500
Sn2 0.665 0.835 0.500
Sn3 0.835 0.335 0.500
Sn4 0.335 0.165 0.500

***

# 2
A geometry-optimized Li5Ag2Sn3 structure, computed with PBE.

Results
As for the volume: 20.0 A^3/atom. As for the total energy: -0.1069 hartree per atom. The calculation puts the formation energy at -0.18 eV/atom.

Unit cell a=6.055 b=10.484 c=10.484 alpha=39.21 beta=73.22 gamma=73.22
Sites, in units of the cell vectors:
Li1 0.250 0.500 0.500
Li2 0.750 0.500 0.500
Li3 0.405 0.845 0.845
Li4 0.095 0.155 0.155
Li5 0.595 0.155 0.155
Li6 0.905 0.845 0.845
Li7 0.230 0.445 0.095
Li8 0.770 0.555 0.905
Li9 0.730 0.095 0.445
Li10 0.270 0.905 0.555
Ag1 0.088 0.645 0.179
Ag2 0.912 0.355 0.821
Ag3 0.588 0.179 0.645
Ag4 0.412 0.821 0.355
Sn1 0.250 0.000 0.000
Sn2 0.750 0.000 0.000
Sn3 0.367 0.484 0.783
Sn4 0.633 0.516 0.217
Sn5 0.867 0.783 0.484
Sn6 0.133 0.217 0.516

***

# 3
A geometry-optimized K5Cd2Hg4 structure, computed with PBE.

Results
As for the volume: 40.3 A^3/atom. As for the total energy: -0.0337 hartree per atom. The calculation puts the formation energy at -0.14 eV/atom.

Unit cell a=4.458 b=9.122 c=12.015 alpha=112.32 beta=100.69 gamma=90.00
Sites, in units of the cell vectors:
K1 0.158 0.923 0.315
K2 0.842 0.077 0.685
K3 0.157 0.391 0.314
K4 0.500 0.000 0.000
K5 0.843 0.609 0.686
Cd1 0.571 0.571 0.142
Cd2 0.429 0.429 0.858
Hg1 0.712 0.712 0.424
Hg2 0.000 0.692 0.000
Hg3 0.288 0.288 0.576
Hg4 0.000 0.308 0.000

***

# 4
A geometry-optimized KPtSN2 structure, computed with PBE.

Results
The raw formation energy is 2735.2 meV/atom. As for the volume: 25.7 A^3/atom. As for the total energy: -0.1047 hartree per atom. The calculation puts the energy above the most stable polymorph in this dataset at 9.04 eV/f.u.

Unit cell a=4.629 b=4.629 c=5.991 alpha=90.00 beta=90.00 gamma=90.00
Last column: magnetic moment on the atom in μB.
Sites, in units of the cell vectors:
K1 0.000 0.000 0.000  0.14
S1 0.000 0.000 0.500  0.25
Pt1 0.500 0.500 0.500  0.60
N1 0.000 0.500 0.000  1.76
N2 0.500 0.000 0.000  1.76